1.
Material: Y2Ho2CCl5
Method: DFT, PBE-GGA
State: relaxed

Output
The raw total energy is -5.755 eV/atom.

Cell lengths 8.680, 8.680, 7.753 Å; angles 103.47, 103.47, 24.66 degrees
Sites, in units of the cell vectors:
Y (0.145, 0.145, 0.082)
Y (0.855, 0.855, 0.918)
Ho (0.499, 0.499, 0.210)
Ho (0.501, 0.501, 0.790)
C (0.000, 0.000, 0.000)
Cl (0.000, 0.000, 0.500)
Cl (0.330, 0.330, 0.165)
Cl (0.337, 0.337, 0.657)
Cl (0.663, 0.663, 0.343)
Cl (0.670, 0.670, 0.835)

=====

2.
Material: GeIr2O4
Method: DFT, PBE-GGA
State: relaxed

Output
The raw total energy is -6.516 eV/atom.

Cell lengths 6.314, 6.314, 6.314 Å; angles 60.00, 60.00, 60.00 degrees
Sites, in units of the cell vectors:
Ge (0.125, 0.125, 0.125)
Ge (0.875, 0.875, 0.875)
Ir (0.000, 0.500, 0.500)
Ir (0.500, 0.000, 0.500)
Ir (0.500, 0.500, 0.000)
Ir (0.500, 0.500, 0.500)
O (0.268, 0.268, 0.268)
O (0.268, 0.268, 0.696)
O (0.268, 0.696, 0.268)
O (0.304, 0.732, 0.732)
O (0.696, 0.268, 0.268)
O (0.732, 0.304, 0.732)
O (0.732, 0.732, 0.304)
O (0.732, 0.732, 0.732)

=====

3.
Material: SrLi3Ho2Sn3
Method: DFT, PBE-GGA
State: relaxed

Output
The raw total energy is -3.781 eV/atom.

Cell lengths 4.772, 4.772, 11.314 Å; angles 90.00, 90.00, 120.00 degrees
Sites, in units of the cell vectors:
Sr (0.000, 0.000, 0.000)
Li (0.333, 0.667, 0.500)
Li (0.667, 0.333, 0.209)
Li (0.667, 0.333, 0.791)
Ho (0.000, 0.000, 0.340)
Ho (0.000, 0.000, 0.660)
Sn (0.333, 0.667, 0.200)
Sn (0.333, 0.667, 0.800)
Sn (0.667, 0.333, 0.500)

=====

4.
Material: Cs3Au
Method: DFT, PBE-GGA
State: relaxed

Output
The raw total energy is -1.565 eV/atom.

Cell lengths 11.689, 11.689, 11.895 Å; angles 90.00, 90.00, 120.00 degrees
Sites, in units of the cell vectors:
Cs (0.000, 0.000, 0.000)
Cs (0.000, 0.000, 0.500)
Cs (0.000, 0.272, 0.771)
Cs (0.000, 0.391, 0.132)
Cs (0.000, 0.609, 0.632)
Cs (0.000, 0.728, 0.271)
Cs (0.272, 0.000, 0.771)
Cs (0.272, 0.272, 0.271)
Cs (0.333, 0.667, 0.420)
Cs (0.333, 0.667, 0.920)
Cs (0.391, 0.000, 0.132)
Cs (0.391, 0.391, 0.632)
Cs (0.609, 0.000, 0.632)
Cs (0.609, 0.609, 0.132)
Cs (0.667, 0.333, 0.420)
Cs (0.667, 0.333, 0.920)
Cs (0.728, 0.000, 0.271)
Cs (0.728, 0.728, 0.771)
Au (0.000, 0.322, 0.448)
Au (0.000, 0.678, 0.948)
Au (0.322, 0.000, 0.448)
Au (0.322, 0.322, 0.948)
Au (0.678, 0.000, 0.948)
Au (0.678, 0.678, 0.448)

=====

5.
Material: SmBePt4
Method: DFT, PBE-GGA
State: relaxed

Output
The raw total energy is -6.315 eV/atom.

Cell lengths 7.918, 7.918, 6.492 Å; angles 90.00, 90.00, 151.15 degrees
Sites, in units of the cell vectors:
Sm (0.109, 0.891, 0.750)
Sm (0.891, 0.109, 0.250)
Be (0.229, 0.771, 0.250)
Be (0.771, 0.229, 0.750)
Pt (0.083, 0.917, 0.250)
Pt (0.313, 0.687, 0.543)
Pt (0.313, 0.687, 0.957)
Pt (0.500, 0.500, 0.000)
Pt (0.500, 0.500, 0.500)
Pt (0.687, 0.313, 0.043)
Pt (0.687, 0.313, 0.457)
Pt (0.917, 0.083, 0.750)

=====

6.
Material: PrCdInO3
Method: DFT, PBE-GGA
State: relaxed

Output
The raw total energy is -5.727 eV/atom.

Cell lengths 7.398, 7.398, 8.393 Å; angles 90.00, 90.00, 151.40 degrees
Sites, in units of the cell vectors:
Pr (0.000, 0.000, 0.000)
Pr (0.000, 0.000, 0.500)
Cd (0.315, 0.685, 0.750)
Cd (0.685, 0.315, 0.250)
In (0.340, 0.660, 0.250)
In (0.660, 0.340, 0.750)
O (0.074, 0.926, 0.750)
O (0.394, 0.606, 0.529)
O (0.394, 0.606, 0.971)
O (0.606, 0.394, 0.029)
O (0.606, 0.394, 0.471)
O (0.926, 0.074, 0.250)

=====

7.
Material: Na2OsSe3
Method: DFT, PBE-GGA
State: relaxed

Output
The raw total energy is -4.552 eV/atom.

Cell lengths 6.746, 6.746, 7.217 Å; angles 99.25, 99.25, 120.21 degrees
Sites, in units of the cell vectors:
Na (0.000, 0.000, 0.000)
Na (0.151, 0.849, 0.500)
Na (0.500, 0.500, 0.500)
Na (0.849, 0.151, 0.500)
Os (0.333, 0.667, 0.000)
Os (0.667, 0.333, 0.000)
Se (0.070, 0.457, 0.204)
Se (0.314, 0.314, 0.796)
Se (0.457, 0.070, 0.204)
Se (0.543, 0.930, 0.796)
Se (0.686, 0.686, 0.204)
Se (0.930, 0.543, 0.796)

=====

8.
Material: Cu5Ag
Method: DFT, PBE-GGA
State: relaxed

Output
The calculation puts the formation energy at 54 meV per atom.

Cell lengths 2.674, 3.630, 8.049 Å; angles 90.00, 90.00, 90.00 degrees
Sites, in units of the cell vectors:
Cu (0.000, 0.000, 0.000)
Cu (0.000, 0.000, 0.313)
Cu (0.000, 0.000, 0.687)
Cu (0.500, 0.500, 0.158)
Cu (0.500, 0.500, 0.842)
Ag (0.500, 0.500, 0.500)